1.
KTcO3: optimized geometry, GGA-PBE.

Summary:
Symmetry: C2/m, No. 12
Energy relative to the elements, uncorrected: -1.448 eV per atom

Cell and atoms, written as POSCAR:
```
KTcO3
1.0
3.822 0.000 -0.002
0.000 4.011 0.000
-1.915 -2.005 9.734
K Tc O
2 2 6
direct
0.162 0.412 0.823 K
0.838 0.588 0.177 K
0.442 0.192 0.384 Tc
0.558 0.808 0.616 Tc
0.654 0.903 0.807 O
0.346 0.097 0.193 O
0.446 0.697 0.393 O
0.554 0.303 0.607 O
0.055 0.805 0.609 O
0.945 0.195 0.391 O
```


2.
YW4: optimized geometry, GGA-PBE.

Summary:
Symmetry: I4/m, No. 87
Energy relative to the lowest polymorph listed for this composition: 0.246 eV per atom
Formation energy: 542 meV per atom

Cell and atoms, written as POSCAR:
```
YW4
1.0
-3.092 3.092 2.401
3.092 -3.092 2.401
3.092 3.092 -2.401
Y W
1 4
direct
0.000 0.000 0.000 Y
0.563 0.799 0.362 W
0.201 0.563 0.764 W
0.799 0.437 0.236 W
0.437 0.201 0.638 W
```


3.
LuAlCuRh: optimized geometry, GGA-PBE.

Summary:
Symmetry: F-43m, No. 216
Formation energy: -622 meV per atom

Cell and atoms, written as POSCAR:
```
LuAlCuRh
1.0
-2.689 -3.580 -0.658
0.820 -3.878 2.184
-2.784 -1.375 3.293
Lu Rh Al Cu
1 1 1 1
direct
0.250 0.250 0.250 Lu
0.500 0.500 0.500 Rh
0.750 0.750 0.750 Al
0.000 0.000 0.000 Cu
```


4.
Tl4Pd2Au: optimized geometry, GGA-PBE.

Summary:
Symmetry: R-3m, No. 166
Formation energy: -88 meV per atom

Cell and atoms, written as POSCAR:
```
Tl4Pd2Au
1.0
4.438 0.000 1.022
2.101 3.909 1.022
0.039 0.023 9.973
Tl Pd Au
4 2 1
direct
0.700 0.700 0.899 Tl
0.884 0.884 0.347 Tl
0.300 0.300 0.101 Tl
0.116 0.116 0.653 Tl
0.596 0.596 0.213 Pd
0.404 0.404 0.787 Pd
0.500 0.500 0.500 Au
```


5.
Yb3Ge8: optimized geometry, GGA-PBE.

Summary:
Symmetry: P-1, No. 2
Formation energy: -425 meV per atom

Cell and atoms, written as POSCAR:
```
Yb3Ge8
1.0
-3.413 -4.291 4.965
-3.874 -5.784 -2.881
5.237 -8.957 1.187
Yb Ge
6 16
direct
0.667 0.320 0.375 Yb
0.333 0.680 0.625 Yb
0.339 0.091 0.773 Yb
0.821 0.565 0.779 Yb
0.179 0.435 0.221 Yb
0.661 0.909 0.227 Yb
0.375 0.643 0.925 Ge
0.667 0.305 0.693 Ge
0.824 0.548 0.474 Ge
0.828 0.554 0.084 Ge
0.176 0.452 0.526 Ge
0.878 0.127 0.907 Ge
0.625 0.357 0.075 Ge
0.319 0.105 0.482 Ge
0.333 0.695 0.307 Ge
0.885 0.966 0.642 Ge
0.172 0.446 0.916 Ge
0.122 0.873 0.093 Ge
0.320 0.094 0.070 Ge
0.681 0.895 0.518 Ge
0.115 0.034 0.358 Ge
0.680 0.906 0.930 Ge
```


6.
TbNdEuLu: optimized geometry, GGA-PBE.

Summary:
Symmetry: F-43m, No. 216
Formation energy: 144 meV per atom

Cell and atoms, written as POSCAR:
```
TbNdEuLu
1.0
-2.477 4.901 1.775
-5.381 1.275 -1.648
-4.309 -0.169 3.835
Eu Nd Lu Tb
1 1 1 1
direct
0.000 0.000 0.000 Eu
0.250 0.250 0.250 Nd
0.500 0.500 0.500 Lu
0.750 0.750 0.750 Tb
```


7.
YAsPbSe2: optimized geometry, GGA-PBE.

Summary:
Symmetry: P4/mmm, No. 123
Energy relative to the elements, uncorrected: -0.280 eV per atom
Energy relative to the lowest polymorph listed for this composition: 0.000 eV per atom

Cell and atoms, written as POSCAR:
```
YAsPbSe2
1.0
-0.745 -4.177 -3.706
0.532 -3.775 4.148
-5.667 0.202 0.911
Pb Y As Se
1 1 1 2
direct
0.500 0.500 0.500 Pb
0.000 0.000 0.000 Y
0.000 0.000 0.500 As
0.000 0.500 0.000 Se
0.500 0.000 0.000 Se
```


8.
Nd2Cd3Pd4: optimized geometry, GGA-PBE.

Summary:
Symmetry: P-1, No. 2
Energy relative to the lowest polymorph listed for this composition: 0.011 eV per atom
Formation energy: -573 meV per atom

Cell and atoms, written as POSCAR:
```
Nd2Cd3Pd4
1.0
0.015 -3.762 3.063
4.007 -2.715 0.266
3.738 4.506 7.068
Nd Cd Pd
2 3 4
direct
0.348 0.349 0.778 Nd
0.652 0.651 0.222 Nd
0.298 0.298 0.417 Cd
0.000 0.000 0.000 Cd
0.702 0.702 0.583 Cd
0.669 0.671 0.901 Pd
0.972 0.972 0.349 Pd
0.028 0.028 0.651 Pd
0.331 0.329 0.099 Pd
```